(1)
# PBE ThScTe3, optimized geometry
# relative energy among the computed polymorphs: 0.119 eV per atom
# spin magnetization: 0.000 μB/f.u.
# formation energy (no corrections): -5.6 eV per formula unit
# calculated total energy: -5.751 eV per atom
data_ThScTe3
_chemical_formula_sum 'Th4 Sc4 Te12'
_symmetry_space_group_name_H-M 'C m c 21'
_symmetry_Int_Tables_number 36
_cell_length_a 4.327
_cell_length_b 21.839
_cell_length_c 7.541
_cell_angle_alpha 90.00
_cell_angle_beta 90.00
_cell_angle_gamma 90.00
loop_
_symmetry_equiv_pos_as_xyz
'x,y,z'
'-x,-y,z+1/2'
'-x,y,z'
'x,-y,z+1/2'
'x+1/2,y+1/2,z'
'-x+1/2,-y+1/2,z+1/2'
'-x+1/2,y+1/2,z'
'x+1/2,-y+1/2,z+1/2'
loop_
_atom_site_label
_atom_site_fract_x
_atom_site_fract_y
_atom_site_fract_z
_atom_site_occupancy
Th1 0.000 0.158 0.000 1
Sc1 0.000 0.333 0.001 1
Te1 0.000 0.092 0.642 1
Te2 0.000 0.249 0.334 1
Te3 0.000 0.417 0.696 1

=====

(2)
# PBE LaTe2MoN, optimized geometry
# relative energy among the computed polymorphs: 1.304 eV per atom
# spin magnetization: 3.817 μB/f.u.
# formation energy (no corrections): 4.1 eV per formula unit
# calculated total energy: -5.261 eV per atom
data_LaTe2MoN
_chemical_formula_sum 'La1 Te2 Mo1 N1'
_symmetry_space_group_name_H-M 'P 4/m m m'
_symmetry_Int_Tables_number 123
_symmetry_space_group_name_Hall '-P 4 2'
_cell_length_a 6.295
_cell_length_b 6.295
_cell_length_c 3.989
_cell_angle_alpha 90.00
_cell_angle_beta 90.00
_cell_angle_gamma 90.00
loop_
_atom_site_label
_atom_site_fract_x
_atom_site_fract_y
_atom_site_fract_z
_atom_site_occupancy
La1 0.000 0.000 0.000 1
Te1 0.000 0.500 0.000 1
Mo1 0.500 0.500 0.500 1
N1 0.000 0.000 0.500 1

=====

(3)
# PBE BaAl2Tl2, optimized geometry
# relative energy among the computed polymorphs: 0.215 eV per atom
# spin magnetization: 0.000 μB/f.u.
# formation energy from the elements: 34 meV per atom
# calculated total energy: -2.795 eV per atom
data_BaAl2Tl2
_chemical_formula_sum 'Ba2 Al4 Tl4'
_symmetry_space_group_name_H-M 'P 4/m b m'
_symmetry_Int_Tables_number 127
_symmetry_space_group_name_Hall '-P 4 2ab'
_cell_length_a 8.746
_cell_length_b 8.746
_cell_length_c 3.654
_cell_angle_alpha 90.00
_cell_angle_beta 90.00
_cell_angle_gamma 90.00
loop_
_atom_site_label
_atom_site_fract_x
_atom_site_fract_y
_atom_site_fract_z
_atom_site_occupancy
Ba1 0.000 0.000 0.000 1
Al1 0.116 0.384 0.000 1
Tl1 0.170 0.670 0.500 1

=====

(4)
# PBE Li2TlPb9, optimized geometry
# spin magnetization: 0.000 μB/f.u.
# formation energy from the elements: -77 meV per atom
# calculated total energy: -3.374 eV per atom
data_Li2TlPb9
_chemical_formula_sum 'Li2 Tl1 Pb9'
_symmetry_space_group_name_H-M 'P 4/m m m'
_symmetry_Int_Tables_number 123
_symmetry_space_group_name_Hall '-P 4 2'
_cell_length_a 4.877
_cell_length_b 4.877
_cell_length_c 14.781
_cell_angle_alpha 90.00
_cell_angle_beta 90.00
_cell_angle_gamma 90.00
loop_
_atom_site_label
_atom_site_fract_x
_atom_site_fract_y
_atom_site_fract_z
_atom_site_occupancy
Li1 0.000 0.000 0.163 1
Tl1 0.000 0.000 0.500 1
Pb1 0.000 0.500 0.000 1
Pb2 0.000 0.500 0.324 1
Pb3 0.500 0.500 0.162 1
Pb4 0.500 0.500 0.500 1

=====

(5)
# PBE HoHgRh, optimized geometry
# spin magnetization: 0.000 μB/f.u.
# formation energy from the elements: -539 meV per atom
# calculated total energy: -4.616 eV per atom
data_HoHgRh
_chemical_formula_sum 'Ho2 Hg2 Rh2'
_symmetry_space_group_name_H-M 'I 4 m m'
_symmetry_Int_Tables_number 107
_symmetry_space_group_name_Hall 'I 4 -2'
_cell_length_a 3.600
_cell_length_b 3.600
_cell_length_c 9.512
_cell_angle_alpha 90.00
_cell_angle_beta 90.00
_cell_angle_gamma 90.00
loop_
_atom_site_label
_atom_site_fract_x
_atom_site_fract_y
_atom_site_fract_z
_atom_site_occupancy
Ho1 0.000 0.000 0.000 1
Hg1 0.000 0.000 0.686 1
Rh1 0.000 0.000 0.356 1

=====

(6)
# PBE CuHSe, optimized geometry
# relative energy among the computed polymorphs: 0.192 eV per atom
# spin magnetization: 0.000 μB/f.u.
# calculated total energy: -3.510 eV per atom
data_CuHSe
_chemical_formula_sum 'Cu2 H2 Se2'
_symmetry_space_group_name_H-M 'I 4 m m'
_symmetry_Int_Tables_number 107
_symmetry_space_group_name_Hall 'I 4 -2'
_cell_length_a 3.657
_cell_length_b 3.657
_cell_length_c 6.802
_cell_angle_alpha 90.00
_cell_angle_beta 90.00
_cell_angle_gamma 90.00
loop_
_atom_site_label
_atom_site_fract_x
_atom_site_fract_y
_atom_site_fract_z
_atom_site_occupancy
Cu1 0.000 0.000 0.000 1
H1 0.000 0.000 0.736 1
Se1 0.000 0.000 0.506 1

=====

(7)
# PBE Cr2Au, optimized geometry
# spin magnetization: 0.000 μB/f.u.
# formation energy from the elements: 968 meV per atom
# calculated total energy: -6.540 eV per atom
data_Cr2Au
_chemical_formula_sum 'Cr8 Au4'
_symmetry_space_group_name_H-M 'P a -3'
_symmetry_Int_Tables_number 205
_symmetry_space_group_name_Hall '-P 2ac 2ab 3'
_cell_length_a 5.982
_cell_length_b 5.982
_cell_length_c 5.982
_cell_angle_alpha 90.00
_cell_angle_beta 90.00
_cell_angle_gamma 90.00
loop_
_atom_site_label
_atom_site_fract_x
_atom_site_fract_y
_atom_site_fract_z
_atom_site_occupancy
Cr1 0.088 0.088 0.088 1
Au1 0.000 0.000 0.500 1

=====

(8)
# PBE NiMoAs2I, optimized geometry
# spin magnetization: 3.852 μB/f.u.
# formation energy (no corrections): 10.7 eV per formula unit
# calculated total energy: -3.353 eV per atom
data_NiMoAs2I
_chemical_formula_sum 'Ni1 Mo1 As2 I1'
_symmetry_space_group_name_H-M 'P 4/m m m'
_symmetry_Int_Tables_number 123
_symmetry_space_group_name_Hall '-P 4 2'
_cell_length_a 5.348
_cell_length_b 5.348
_cell_length_c 5.119
_cell_angle_alpha 90.00
_cell_angle_beta 90.00
_cell_angle_gamma 90.00
loop_
_atom_site_label
_atom_site_fract_x
_atom_site_fract_y
_atom_site_fract_z
_atom_site_occupancy
Ni1 0.000 0.000 0.000 1
Mo1 0.500 0.500 0.000 1
As1 0.000 0.500 0.500 1
I1 0.500 0.500 0.500 1

=====

(9)
# PBE Nd4Er8Th, optimized geometry
# spin magnetization: 1.364 μB/f.u.
# formation energy from the elements: 521 meV per atom
# calculated total energy: -4.325 eV per atom
data_Nd4Er8Th
_chemical_formula_sum 'Nd12 Er24 Th3'
_symmetry_space_group_name_H-M 'R -3 m'
_symmetry_Int_Tables_number 166
_symmetry_space_group_name_Hall '-R 3 2"'
_cell_length_a 11.0120
_cell_length_b 11.0120
_cell_length_c 13.4471
_cell_angle_alpha 90.00
_cell_angle_beta 90.00
_cell_angle_gamma 120.00
loop_
_atom_site_label
_atom_site_fract_x
_atom_site_fract_y
_atom_site_fract_z
_atom_site_occupancy
Nd1 0.0000 0.0000 0.0000 1
Nd2 0.0000 0.5000 0.0000 1
Er1 0.0000 0.0000 0.2410 1
Er2 0.0117 0.5058 0.7464 1
Th1 0.0000 0.0000 0.5000 1

=====

(10)
# PBE ZrCl, optimized geometry
# spin magnetization: 0.000 μB/f.u.
# formation energy (no corrections): -1.5 eV per formula unit
# calculated total energy: -5.926 eV per atom
data_ZrCl
_chemical_formula_sum 'Zr2 Cl2'
_symmetry_space_group_name_H-M 'P m m n'
_symmetry_Int_Tables_number 59
_cell_length_a 3.580
_cell_length_b 4.558
_cell_length_c 6.304
_cell_angle_alpha 90.00
_cell_angle_beta 90.00
_cell_angle_gamma 90.00
loop_
_symmetry_equiv_pos_as_xyz
'x,y,z'
'-x,-y,-z'
'-x+1/2,-y+1/2,z'
'x+1/2,y+1/2,-z'
'x+1/2,-y,-z'
'-x+1/2,y,z'
'-x,y+1/2,-z'
'x,-y+1/2,z'
loop_
_atom_site_label
_atom_site_fract_x
_atom_site_fract_y
_atom_site_fract_z
_atom_site_occupancy
Zr1 0.250 0.250 0.026 1
Cl1 0.250 0.750 0.285 1

=====

(11)
# PBE NdDyCdAu, optimized geometry
# relative energy among the computed polymorphs: 0.037 eV per atom
# spin magnetization: 0.000 μB/f.u.
# formation energy from the elements: -528 meV per atom
# calculated total energy: -3.918 eV per atom
data_NdDyCdAu
_chemical_formula_sum 'Nd4 Dy4 Cd4 Au4'
_symmetry_space_group_name_H-M 'F -4 3 m'
_symmetry_Int_Tables_number 216
_symmetry_space_group_name_Hall 'F -4 2 3'
_cell_length_a 7.451
_cell_length_b 7.451
_cell_length_c 7.451
_cell_angle_alpha 90.00
_cell_angle_beta 90.00
_cell_angle_gamma 90.00
loop_
_atom_site_label
_atom_site_fract_x
_atom_site_fract_y
_atom_site_fract_z
_atom_site_occupancy
Nd1 0.000 0.000 0.000 1
Dy1 0.000 0.000 0.500 1
Cd1 0.250 0.250 0.750 1
Au1 0.250 0.250 0.250 1

=====

(12)
# PBE Tl2CoHgBr6, optimized geometry
# spin magnetization: 0.528 μB/f.u.
# formation energy (no corrections): -4.8 eV per formula unit
# calculated total energy: -2.697 eV per atom
data_Tl2CoHgBr6
_chemical_formula_sum 'Tl2 Co1 Hg1 Br6'
_symmetry_space_group_name_H-M 'P -1'
_symmetry_Int_Tables_number 2
_cell_length_a 7.343
_cell_length_b 7.352
_cell_length_c 7.356
_cell_angle_alpha 62.86
_cell_angle_beta 63.00
_cell_angle_gamma 62.86
loop_
_symmetry_equiv_pos_as_xyz
'x,y,z'
'-x,-y,-z'
loop_
_atom_site_label
_atom_site_fract_x
_atom_site_fract_y
_atom_site_fract_z
_atom_site_occupancy
Tl1 0.243 0.244 0.243 1
Co1 0.000 0.000 0.000 1
Hg1 0.500 0.500 0.500 1
Br1 0.165 0.786 0.292 1
Br2 0.214 0.709 0.835 1
Br3 0.291 0.165 0.788 1